(1)
A plane-wave DFT calculation with GGA-PBE was carried out for a relaxed structure of CeTlAu4.

Output
The calculation puts the energy relative to the elements at -0.3755 eV/atom. The magnetization is 0.8 μB/f.u. The calculation puts the calculated volume at 137.6 Å³/cell. The calculation puts the excess energy over the best structure of this formula in the dataset at 0 meV/atom. Its crystal system is hexagonal. For the density of states at the Fermi level, the calculation gives 7.820 states/eV/cell.

a = 4.8416 Å, b = 4.8416 Å, c = 6.7768 Å
α = 90.00°, β = 90.00°, γ = 120.00°
Sites, in units of the cell vectors:
1 Ce 0.0000 0.0000 0.0000
2 Tl 0.0000 0.0000 0.5000
3 Au 0.3333 0.6667 0.2408
4 Au 0.3333 0.6667 0.7592
5 Au 0.6667 0.3333 0.2408
6 Au 0.6667 0.3333 0.7592



(2)
A plane-wave DFT calculation with GGA-PBE was carried out for a relaxed structure of CeTlAu.

Output
The calculation puts the energy relative to the elements at -0.1729 eV/atom. The magnetization is 1.1 μB/f.u. The calculation puts the calculated volume at 349.1 Å³/cell. Its crystal system is monoclinic. For the density of states at the Fermi level, the calculation gives 29.233 states/eV/cell.

a = 11.1340 Å, b = 3.6667 Å, c = 9.2119 Å
α = 90.00°, β = 111.82°, γ = 90.00°
Sites, in units of the cell vectors:
1 Ce 0.1905 0.0000 0.1570
2 Ce 0.3095 0.5000 0.8430
3 Ce 0.6905 0.5000 0.1570
4 Ce 0.8095 0.0000 0.8430
5 Tl 0.1351 0.0000 0.4995
6 Tl 0.3649 0.5000 0.5005
7 Tl 0.6351 0.5000 0.4995
8 Tl 0.8649 0.0000 0.5005
9 Au 0.0833 0.0000 0.8084
10 Au 0.4167 0.5000 0.1916
11 Au 0.5833 0.5000 0.8084
12 Au 0.9167 0.0000 0.1916



(3)
A plane-wave DFT calculation with GGA-PBE was carried out for a relaxed structure of Ce2TlAu3.

Output
The calculation puts the energy relative to the elements at -0.5703 eV/atom. The magnetization is 1.7 μB/f.u. The calculation puts the calculated volume at 280.0 Å³/cell. The calculation puts the excess energy over the best structure of this formula in the dataset at 0 meV/atom. Its crystal system is orthorhombic. For the density of states at the Fermi level, the calculation gives 21.508 states/eV/cell.

a = 9.8559 Å, b = 9.1603 Å, c = 5.9479 Å
α = 78.27°, β = 65.51°, γ = 36.22°
Sites, in units of the cell vectors:
1 Ce 0.2374 0.7626 0.7626
2 Ce 0.2500 0.2500 0.2500
3 Ce 0.7500 0.7500 0.7500
4 Ce 0.7626 0.2374 0.2374
5 Tl 0.3344 0.3344 0.6656
6 Tl 0.6656 0.6656 0.3344
7 Au 0.1658 0.1658 0.8342
8 Au 0.1660 0.6691 0.3309
9 Au 0.3309 0.8340 0.1660
10 Au 0.6691 0.1660 0.8340
11 Au 0.8340 0.3309 0.6691
12 Au 0.8342 0.8342 0.1658



(4)
A plane-wave DFT calculation with GGA-PBE was carried out for a relaxed structure of Ce4TlAu3.

Output
The calculation puts the energy relative to the elements at -0.4973 eV/atom. The magnetization is 4.2 μB/f.u. The calculation puts the calculated volume at 209.0 Å³/cell. Its crystal system is trigonal. For the density of states at the Fermi level, the calculation gives 26.332 states/eV/cell.

a = 9.0891 Å, b = 9.0891 Å, c = 9.0891 Å
α = 33.97°, β = 33.97°, γ = 33.97°
Sites, in units of the cell vectors:
1 Ce 0.1160 0.1160 0.1160
2 Ce 0.3639 0.3639 0.3639
3 Ce 0.6361 0.6361 0.6361
4 Ce 0.8840 0.8840 0.8840
5 Tl 0.5000 0.5000 0.5000
6 Au 0.0000 0.0000 0.0000
7 Au 0.2377 0.2377 0.2377
8 Au 0.7623 0.7623 0.7623



(5)
A plane-wave DFT calculation with GGA-PBE was carried out for a relaxed structure of Ce3TlAu2.

Output
The calculation puts the energy relative to the elements at -0.4670 eV/atom. The magnetization is 3.5 μB/f.u. The calculation puts the calculated volume at 158.3 Å³/cell. The calculation puts the excess energy over the best structure of this formula in the dataset at 0 meV/atom. Its crystal system is tetragonal. For the density of states at the Fermi level, the calculation gives 20.429 states/eV/cell.

a = 3.6104 Å, b = 3.6104 Å, c = 12.1472 Å
α = 90.00°, β = 90.00°, γ = 90.00°
Sites, in units of the cell vectors:
1 Ce 0.0000 0.0000 0.0000
2 Ce 0.0000 0.0000 0.3143
3 Ce 0.0000 0.0000 0.6857
4 Tl 0.5000 0.5000 0.5000
5 Au 0.5000 0.5000 0.1582
6 Au 0.5000 0.5000 0.8418



(6)
A plane-wave DFT calculation with GGA-PBE was carried out for a relaxed structure of Ce8TlAu2.

Output
The calculation puts the energy relative to the elements at -0.1633 eV/atom. The magnetization is 6.8 μB/f.u. The calculation puts the calculated volume at 300.5 Å³/cell. The calculation puts the excess energy over the best structure of this formula in the dataset at 0 meV/atom. Its crystal system is orthorhombic. For the density of states at the Fermi level, the calculation gives 34.601 states/eV/cell.

a = 8.3038 Å, b = 8.3038 Å, c = 8.3038 Å
α = 144.41°, β = 112.62°, γ = 78.59°
Sites, in units of the cell vectors:
1 Ce 0.1146 0.3338 0.7808
2 Ce 0.1870 0.1870 0.0000
3 Ce 0.2867 0.0000 0.2867
4 Ce 0.4470 0.6662 0.7808
5 Ce 0.5530 0.3338 0.2192
6 Ce 0.7133 0.0000 0.7133
7 Ce 0.8130 0.8130 0.0000
8 Ce 0.8854 0.6662 0.2192
9 Tl 0.0000 0.5000 0.5000
10 Au 0.3253 0.8253 0.5000
11 Au 0.6747 0.1747 0.5000



(7)
A plane-wave DFT calculation with GGA-PBE was carried out for a relaxed structure of CeTlAu.

Output
The calculation puts the energy relative to the elements at -0.5148 eV/atom. The magnetization is 0.9 μB/f.u. The calculation puts the calculated volume at 153.6 Å³/cell. Its crystal system is hexagonal. For the density of states at the Fermi level, the calculation gives 12.253 states/eV/cell.

a = 5.2237 Å, b = 5.2237 Å, c = 6.4987 Å
α = 90.00°, β = 90.00°, γ = 120.00°
Sites, in units of the cell vectors:
1 Ce 0.3333 0.6667 0.2500
2 Ce 0.6667 0.3333 0.7500
3 Tl 0.0000 0.0000 0.0000
4 Tl 0.0000 0.0000 0.5000
5 Au 0.3333 0.6667 0.7500
6 Au 0.6667 0.3333 0.2500



(8)
A plane-wave DFT calculation with GGA-PBE was carried out for a relaxed structure of Ce6TlAu2.

Output
The calculation puts the energy relative to the elements at -0.2807 eV/atom. The magnetization is 2.9 μB/f.u. The calculation puts the calculated volume at 238.1 Å³/cell. Its crystal system is triclinic. For the density of states at the Fermi level, the calculation gives 23.003 states/eV/cell.

a = 5.8928 Å, b = 5.9711 Å, c = 7.3448 Å
α = 96.03°, β = 109.24°, γ = 98.35°
Sites, in units of the cell vectors:
1 Ce 0.0899 0.4469 0.2386
2 Ce 0.2124 0.9351 0.0138
3 Ce 0.2249 0.1656 0.5409
4 Ce 0.7751 0.8344 0.4591
5 Ce 0.7876 0.0649 0.9862
6 Ce 0.9101 0.5531 0.7614
7 Tl 0.5000 0.5000 0.0000
8 Au 0.3735 0.7296 0.6430
9 Au 0.6265 0.2704 0.3570



(9)
A plane-wave DFT calculation with GGA-PBE was carried out for a relaxed structure of CeTlAu.

Output
The calculation puts the energy relative to the elements at -0.4474 eV/atom. The magnetization is 0.2 μB/f.u. The calculation puts the calculated volume at 332.9 Å³/cell. Its crystal system is cubic. For the density of states at the Fermi level, the calculation gives 21.280 states/eV/cell.

a = 6.9309 Å, b = 6.9309 Å, c = 6.9309 Å
α = 90.00°, β = 90.00°, γ = 90.00°
Sites, in units of the cell vectors:
1 Ce 0.0000 0.0000 0.0000
2 Ce 0.0000 0.5000 0.5000
3 Ce 0.5000 0.0000 0.5000
4 Ce 0.5000 0.5000 0.0000
5 Tl 0.0000 0.0000 0.5000
6 Tl 0.0000 0.5000 0.0000
7 Tl 0.5000 0.0000 0.0000
8 Tl 0.5000 0.5000 0.5000
9 Au 0.2500 0.2500 0.2500
10 Au 0.2500 0.7500 0.7500
11 Au 0.7500 0.2500 0.7500
12 Au 0.7500 0.7500 0.2500



(10)
A plane-wave DFT calculation with GGA-PBE was carried out for a relaxed structure of Ce6Tl3Au.

Output
The calculation puts the energy relative to the elements at -0.1249 eV/atom. The magnetization is 6.2 μB/f.u. The calculation puts the calculated volume at 291.0 Å³/cell. Its crystal system is monoclinic. For the density of states at the Fermi level, the calculation gives 33.096 states/eV/cell.

a = 6.2553 Å, b = 6.2553 Å, c = 8.4582 Å
α = 103.19°, β = 103.19°, γ = 66.04°
Sites, in units of the cell vectors:
1 Ce 0.0613 0.6573 0.6454
2 Ce 0.3427 0.9387 0.3546
3 Ce 0.3572 0.3572 0.1046
4 Ce 0.6428 0.6428 0.8954
5 Ce 0.6573 0.0613 0.6454
6 Ce 0.9387 0.3427 0.3546
7 Tl 0.0000 0.0000 0.0000
8 Tl 0.1549 0.1549 0.7317
9 Tl 0.8451 0.8451 0.2683
10 Au 0.5000 0.5000 0.5000



(11)
A plane-wave DFT calculation with GGA-PBE was carried out for a relaxed structure of Ce6Tl2Au.

Output
The calculation puts the energy relative to the elements at -0.1670 eV/atom. The magnetization is 3.9 μB/f.u. The calculation puts the calculated volume at 222.5 Å³/cell. Its crystal system is hexagonal. For the density of states at the Fermi level, the calculation gives 24.542 states/eV/cell.

a = 9.1277 Å, b = 9.1277 Å, c = 3.0839 Å
α = 90.00°, β = 90.00°, γ = 120.00°
Sites, in units of the cell vectors:
1 Ce 0.0000 0.3160 0.0000
2 Ce 0.0000 0.6840 0.0000
3 Ce 0.3160 0.0000 0.0000
4 Ce 0.3160 0.3160 0.0000
5 Ce 0.6840 0.0000 0.0000
6 Ce 0.6840 0.6840 0.0000
7 Tl 0.3333 0.6667 0.5000
8 Tl 0.6667 0.3333 0.5000
9 Au 0.0000 0.0000 0.5000



(12)
A plane-wave DFT calculation with GGA-PBE was carried out for a relaxed structure of CeTmTlAu.

Output
The calculation puts the energy relative to the elements at -0.4443 eV/atom. The magnetization is 1.0 μB/f.u. The calculation puts the calculated volume at 419.0 Å³/cell. Its crystal system is cubic. For the density of states at the Fermi level, the calculation gives 39.451 states/eV/cell.

a = 7.4829 Å, b = 7.4829 Å, c = 7.4829 Å
α = 90.00°, β = 90.00°, γ = 90.00°
Sites, in units of the cell vectors:
1 Ce 0.0000 0.0000 0.0000
2 Ce 0.0000 0.5000 0.5000
3 Ce 0.5000 0.0000 0.5000
4 Ce 0.5000 0.5000 0.0000
5 Tm 0.0000 0.0000 0.5000
6 Tm 0.0000 0.5000 0.0000
7 Tm 0.5000 0.0000 0.0000
8 Tm 0.5000 0.5000 0.5000
9 Tl 0.2500 0.2500 0.7500
10 Tl 0.2500 0.7500 0.2500
11 Tl 0.7500 0.2500 0.2500
12 Tl 0.7500 0.7500 0.7500
13 Au 0.2500 0.2500 0.2500
14 Au 0.2500 0.7500 0.7500
15 Au 0.7500 0.2500 0.7500
16 Au 0.7500 0.7500 0.2500